1.
Density functional theory data (PBE) for an optimized crystal structure of Sm2YMg6.

a = 9.126 Å, b = 9.126 Å, c = 3.324 Å
α = 90.00°, β = 90.00°, γ = 120.00°
Sites, in units of the cell vectors:
Sm 0.333 0.667 0.000
Sm 0.667 0.333 0.000
Y 0.000 0.000 0.000
Mg 0.000 0.331 0.500
Mg 0.000 0.669 0.500
Mg 0.331 0.000 0.500
Mg 0.331 0.331 0.500
Mg 0.669 0.000 0.500
Mg 0.669 0.669 0.500

Computed properties:
Its space group is No. 191. As for the calculated volume: 239.8 Å³/cell. Its crystal system is hexagonal. For the total energy, the calculation gives -26.3 eV per cell. Its energy of formation is -0.0896 eV per atom.

2.
Density functional theory data (PBE) for an optimized crystal structure of Na3Li.

a = 12.055 Å, b = 12.055 Å, c = 3.461 Å
α = 90.00°, β = 90.00°, γ = 148.04°
Sites, in units of the cell vectors:
Na 0.180 0.320 0.750
Na 0.201 0.799 0.750
Na 0.320 0.180 0.250
Na 0.680 0.820 0.750
Na 0.799 0.201 0.250
Na 0.820 0.680 0.250
Li 0.325 0.675 0.250
Li 0.675 0.325 0.750

Computed properties:
Its space group is No. 63. As for the calculated volume: 266.2 Å³/cell. Its crystal system is orthorhombic. For the total energy, the calculation gives -11.1 eV per cell. The value obtained for the relative energy among the computed polymorphs is 33.2 meV/atom. Its energy of formation is 0.0750 eV per atom.

3.
Density functional theory data (PBE) for an optimized crystal structure of Pm2Ho5Tm4.

a = 6.595 Å, b = 6.595 Å, c = 9.210 Å
α = 104.64°, β = 104.64°, γ = 67.27°
Sites, in units of the cell vectors:
Pm 0.147 0.147 0.123
Pm 0.853 0.853 0.877
Ho 0.000 0.000 0.500
Ho 0.213 0.652 0.220
Ho 0.348 0.787 0.780
Ho 0.652 0.213 0.220
Ho 0.787 0.348 0.780
Tm 0.326 0.326 0.502
Tm 0.330 0.330 0.875
Tm 0.670 0.670 0.125
Tm 0.674 0.674 0.498

Computed properties:
Its space group is No. 12. As for the calculated volume: 352.0 Å³/cell. Its crystal system is monoclinic. For the total energy, the calculation gives -48.6 eV per cell. Its energy of formation is 0.1510 eV per atom.

4.
Density functional theory data (PBE) for an optimized crystal structure of Ba3Nb2TlO9.

a = 6.014 Å, b = 6.014 Å, c = 7.731 Å
α = 90.00°, β = 90.00°, γ = 120.00°
Sites, in units of the cell vectors:
Ba 0.000 0.000 0.000
Ba 0.333 0.667 0.694
Ba 0.667 0.333 0.306
Nb 0.333 0.667 0.165
Nb 0.667 0.333 0.835
Tl 0.000 0.000 0.500
O 0.000 0.500 0.000
O 0.176 0.352 0.297
O 0.176 0.824 0.297
O 0.352 0.176 0.703
O 0.500 0.000 0.000
O 0.500 0.500 0.000
O 0.648 0.824 0.297
O 0.824 0.176 0.703
O 0.824 0.648 0.703

Computed properties:
Its space group is No. 164. As for the calculated volume: 242.2 Å³/cell. Its crystal system is trigonal. For the total energy, the calculation gives -109.8 eV per cell.

5.
Density functional theory data (PBE) for an optimized crystal structure of As2S3.

a = 5.918 Å, b = 9.083 Å, c = 11.108 Å
α = 81.12°, β = 79.63°, γ = 89.96°
Sites, in units of the cell vectors:
As 0.052 0.147 0.324
As 0.141 0.827 0.173
As 0.403 0.674 0.826
As 0.415 0.354 0.678
As 0.585 0.646 0.322
As 0.597 0.326 0.174
As 0.859 0.173 0.827
As 0.948 0.853 0.676
S 0.062 0.075 0.133
S 0.083 0.259 0.637
S 0.227 0.378 0.253
S 0.296 0.426 0.869
S 0.307 0.756 0.636
S 0.458 0.878 0.251
S 0.542 0.122 0.749
S 0.693 0.244 0.364
S 0.704 0.574 0.131
S 0.773 0.622 0.747
S 0.917 0.741 0.363
S 0.938 0.925 0.867

Computed properties:
Its space group is No. 2. As for the calculated volume: 580.1 Å³/cell. Its crystal system is triclinic. For the total energy, the calculation gives -89.3 eV per cell.

6.
Density functional theory data (PBE) for an optimized crystal structure of Ca3VZn.

a = 5.605 Å, b = 5.605 Å, c = 5.605 Å
α = 90.00°, β = 90.00°, γ = 90.00°
Sites, in units of the cell vectors:
Ca 0.000 0.000 0.500
Ca 0.000 0.500 0.000
Ca 0.500 0.000 0.000
V 0.500 0.500 0.500
Zn 0.000 0.000 0.000

Computed properties:
Its space group is No. 221. As for the calculated volume: 176.1 Å³/cell. Its crystal system is cubic. For the total energy, the calculation gives -13.5 eV per cell. The value obtained for the relative energy among the computed polymorphs is 0.0 meV/atom. Its energy of formation is 0.5791 eV per atom.

7.
Density functional theory data (PBE) for an optimized crystal structure of MgPtW2.

a = 3.475 Å, b = 3.475 Å, c = 5.492 Å
α = 90.00°, β = 90.00°, γ = 90.00°
Sites, in units of the cell vectors:
Mg 0.000 0.000 0.000
Pt 0.000 0.000 0.500
W 0.500 0.500 0.268
W 0.500 0.500 0.732

Computed properties:
Its space group is No. 123. As for the calculated volume: 66.3 Å³/cell. Its crystal system is tetragonal. For the total energy, the calculation gives -31.9 eV per cell. Its energy of formation is 0.4151 eV per atom.

8.
Density functional theory data (PBE) for an optimized crystal structure of YSn2Ge2.

a = 7.859 Å, b = 7.859 Å, c = 7.859 Å
α = 149.00°, β = 149.00°, γ = 44.42°
Sites, in units of the cell vectors:
Y 0.000 0.000 0.000
Sn 0.250 0.750 0.500
Sn 0.750 0.250 0.500
Ge 0.416 0.416 0.000
Ge 0.584 0.584 0.000

Computed properties:
Its space group is No. 139. As for the calculated volume: 128.4 Å³/cell. Its crystal system is tetragonal. For the total energy, the calculation gives -24.2 eV per cell. The value obtained for the relative energy among the computed polymorphs is 106.4 meV/atom. Its energy of formation is -0.1040 eV per atom.